Record 1
{
  "formula": "Ag4Br",
  "functional": "PBE-GGA",
  "state": "relaxed",
  "spacegroup": "I4/mmm, No. 139",
  "n_ef_per_ev_atom": 0.27,
  "energy_ev_per_atom": -2.502,
  "raw_formation_energy_ev_per_fu": 0.567,
  "crystal_system": "tetragonal",
  "lattice_angstrom": [[3.897, 0.000, 0.000], [0.000, 3.897, 0.000], [0.000, 0.000, 14.448]],
  "species": ["Ag", "Ag", "Ag", "Ag", "Ag", "Ag", "Ag", "Ag", "Br", "Br"],
  "fractional_positions": [[0.000, 0.000, 0.102], [0.000, 0.000, 0.898], [0.000, 0.500, 0.250], [0.000, 0.500, 0.750], [0.500, 0.000, 0.250], [0.500, 0.000, 0.750], [0.500, 0.500, 0.398], [0.500, 0.500, 0.602], [0.000, 0.000, 0.500], [0.500, 0.500, 0.000]]
}


Record 2
{
  "formula": "CuSi3",
  "functional": "PBE-GGA",
  "state": "relaxed",
  "spacegroup": "I4/mmm, No. 139",
  "n_ef_per_ev_atom": 0.40,
  "energy_ev_per_atom": -4.694,
  "raw_formation_energy_ev_per_fu": 1.591,
  "crystal_system": "tetragonal",
  "lattice_angstrom": [[3.956, 0.000, 0.000], [0.000, 3.956, 0.000], [0.000, 0.000, 14.286]],
  "species": ["Cu", "Cu", "Cu", "Cu", "Si", "Si", "Si", "Si", "Si", "Si", "Si", "Si", "Si", "Si", "Si", "Si"],
  "fractional_positions": [[0.000, 0.000, 0.130], [0.000, 0.000, 0.870], [0.500, 0.500, 0.370], [0.500, 0.500, 0.630], [0.000, 0.000, 0.381], [0.000, 0.000, 0.619], [0.000, 0.500, 0.000], [0.000, 0.500, 0.250], [0.000, 0.500, 0.500], [0.000, 0.500, 0.750], [0.500, 0.000, 0.000], [0.500, 0.000, 0.250], [0.500, 0.000, 0.500], [0.500, 0.000, 0.750], [0.500, 0.500, 0.119], [0.500, 0.500, 0.881]]
}